DFT (PBE) results for an optimized crystal structure of BaMg2Tc2.

a = 3.5357 Å, b = 3.5357 Å, c = 10.7194 Å
α = 80.51°, β = 80.51°, γ = 90.00°
Closest atoms and distances in Å follow each position.
Fractional coordinates of all 5 atoms:
1 Mg 0.3611 0.3611 0.2778  4 Tc 2.91
2 Mg 0.6389 0.6389 0.7222  4 Tc 2.91
3 Ba 0.0000 0.0000 0.0000  4 Ba 3.54, 8 Mg 3.83
4 Tc 0.7500 0.2500 0.5000  4 Tc 2.50
5 Tc 0.2500 0.7500 0.5000  4 Tc 2.50

formation enthalpy at 0 K: 0.400 eV per atom
calculated total energy: -0.350 Ry/atom
ΔE to the lowest computed polymorph: 0.0 meV per atom